Run i
# Co2GeTe PBE optimized geometry
data_Co2GeTe
_chemical_formula_sum 'Co8 Ge4 Te4'
_cell_length_a 6.231
_cell_length_b 6.231
_cell_length_c 6.231
_cell_angle_alpha 90.00
_cell_angle_beta 90.00
_cell_angle_gamma 90.00
_symmetry_space_group_name_H-M 'F m -3 m'
_symmetry_Int_Tables_number 225
_symmetry_space_group_name_Hall '-F 4 2 3'
loop_
_atom_site_label
_atom_site_type_symbol
_atom_site_fract_x
_atom_site_fract_y
_atom_site_fract_z
Co1 Co 0.250 0.250 0.250
Ge1 Ge 0.000 0.000 0.000
Te1 Te 0.000 0.000 0.500
# total moment = 0.514 μB per atom

Run ii
# Co2GeTe PBE optimized geometry
data_Co2GeTe
_chemical_formula_sum 'Co8 Ge4 Te4'
_cell_length_a 4.228
_cell_length_b 4.228
_cell_length_c 15.210
_cell_angle_alpha 90.00
_cell_angle_beta 90.00
_cell_angle_gamma 90.00
_symmetry_space_group_name_H-M 'I -4 2 d'
_symmetry_Int_Tables_number 122
_symmetry_space_group_name_Hall 'I -4 2bw'
loop_
_atom_site_label
_atom_site_type_symbol
_atom_site_fract_x
_atom_site_fract_y
_atom_site_fract_z
Co1 Co 0.225 0.250 0.125
Ge1 Ge 0.000 0.000 0.000
Te1 Te 0.000 0.000 0.500
# total moment = 0.146 μB per atom

Last place for stability: run i

Run i
# Th2CoGe3 PBE optimized geometry
data_Th2CoGe3
_chemical_formula_sum 'Th16 Co8 Ge24'
_cell_length_a 8.339
_cell_length_b 8.416
_cell_length_c 14.454
_cell_angle_alpha 90.00
_cell_angle_beta 90.00
_cell_angle_gamma 90.00
_symmetry_space_group_name_H-M 'F m m m'
_symmetry_Int_Tables_number 69
_symmetry_space_group_name_Hall '-F 2 2'
loop_
_atom_site_label
_atom_site_type_symbol
_atom_site_fract_x
_atom_site_fract_y
_atom_site_fract_z
Th1 Th 0.000 0.250 0.000
Th2 Th 0.250 0.250 0.250
Co1 Co 0.000 0.000 0.167
Ge1 Ge 0.000 0.000 0.326
Ge2 Ge 0.239 0.000 0.087
# total moment = 0.000 μB per atom

Run ii
# Th2CoGe3 PBE optimized geometry
data_Th2CoGe3
_chemical_formula_sum 'Th2 Co1 Ge3'
_cell_length_a 4.111
_cell_length_b 4.291
_cell_length_c 7.193
_cell_angle_alpha 90.00
_cell_angle_beta 90.00
_cell_angle_gamma 90.00
_symmetry_space_group_name_H-M 'P m m 2'
_symmetry_Int_Tables_number 25
_symmetry_space_group_name_Hall 'P 2 -2'
loop_
_atom_site_label
_atom_site_type_symbol
_atom_site_fract_x
_atom_site_fract_y
_atom_site_fract_z
Th1 Th 0.000 0.000 0.000
Th2 Th 0.000 0.500 0.477
Co1 Co 0.500 0.000 0.305
Ge1 Ge 0.500 0.000 0.628
Ge2 Ge 0.500 0.500 0.167
Ge3 Ge 0.500 0.500 0.816
# total moment = 0.000 μB per atom

Last place for stability: run ii